DFT (PBE) results for a geometry-optimized MnZnSbI2 structure.

Summary:
**ΔE_f (raw)**: 588 meV/atom
**E_tot**: -14.725 eV per cell
**Symmetry**: No. 123
**Calculated volume**: 167 Å³ per cell
**N(E_F)**: 2.88 states/eV per cell

Cell lengths 5.5562, 5.5562, 5.4169 Å; angles 90.00, 90.00, 90.00 degrees
Atoms (fractional coordinates):
I  0.0000  0.5000  0.0000
I  0.5000  0.0000  0.0000
Sb  0.0000  0.0000  0.5000
Zn  0.0000  0.0000  0.0000
Mn  0.5000  0.5000  0.5000